No. 1
DFT (PBE-GGA) results for an optimized crystal structure of Zn2PSe.

Summary:
E_form (uncorrected) (eV/atom): -0.27

Cell: 6.795 6.795 6.795 Å, 130.94 130.94 71.90°
Element x y z (fractional)
Zn (0.103, 0.625, 0.978)
Zn (0.375, 0.353, 0.478)
Zn (0.647, 0.125, 0.022)
Zn (0.875, 0.897, 0.522)
P (0.000, 0.000, 0.000)
P (0.750, 0.250, 0.500)
Se (0.250, 0.750, 0.500)
Se (0.500, 0.500, 0.000)

=====

No. 2
DFT (PBE-GGA) results for an optimized crystal structure of ErB6Ir5.

Summary:
Energy of formation from the pure elements (eV/f.u.): -3.2

Cell: 5.890 5.890 5.402 Å, 99.34 99.34 126.80°
Element x y z (fractional)
Er (0.000, 0.000, 0.000)
B (0.106, 0.716, 0.629)
B (0.284, 0.894, 0.371)
B (0.437, 0.437, 0.817)
B (0.563, 0.563, 0.183)
B (0.716, 0.106, 0.629)
B (0.894, 0.284, 0.371)
Ir (0.000, 0.000, 0.500)
Ir (0.305, 0.695, 0.000)
Ir (0.374, 0.626, 0.500)
Ir (0.626, 0.374, 0.500)
Ir (0.695, 0.305, 0.000)

=====

No. 3
DFT (PBE-GGA) results for an optimized crystal structure of Ag4SnB2.

Summary:
Energy of formation from the pure elements (eV/f.u.): 6.2

Cell: 6.760 6.760 6.760 Å, 134.16 134.16 66.84°
Element x y z (fractional)
Ag (0.000, 0.500, 0.500)
Ag (0.244, 0.244, 0.000)
Ag (0.500, 0.000, 0.500)
Ag (0.756, 0.756, 0.000)
Sn (0.000, 0.000, 0.000)
B (0.431, 0.431, 0.000)
B (0.569, 0.569, 0.000)

=====

Number 1: D(E_F) 0.626 states/eV per atom. Number 2: D(E_F) 0.234 states/eV per atom. Number 3: D(E_F) 0.391 states/eV per atom.